[1]
# Tm3Ga2Ru3C | the Alexandria database | GGA-PBE | optimized geometry
# Total energy (eV/atom): -6.63
data_Tm3Ga2Ru3C
_cell_length_a 7.1586
_cell_length_b 7.1586
_cell_length_c 3.3988
_cell_angle_alpha 90.00
_cell_angle_beta 90.00
_cell_angle_gamma 120.00
_space_group_name_H-M_alt 'P -6 2 m'
_space_group_IT_number 189
_space_group_name_Hall 'P -6 -2'
loop_
_atom_site_label
_atom_site_type_symbol
_atom_site_fract_x
_atom_site_fract_y
_atom_site_fract_z
_atom_site_occupancy
Tm1 Tm 0.0000 0.6339 0.0000 1
Ga1 Ga 0.3333 0.6667 0.5000 1
Ru1 Ru 0.0000 0.2245 0.5000 1
C1 C 0.0000 0.0000 0.0000 1

[2]
# LiSc6Zn5 | the Alexandria database | GGA-PBE | optimized geometry
# Total energy (eV/atom): -4.15
data_LiSc6Zn5
_cell_length_a 4.7510
_cell_length_b 6.7258
_cell_length_c 7.5259
_cell_angle_alpha 90.00
_cell_angle_beta 108.30
_cell_angle_gamma 90.00
_space_group_name_H-M_alt 'P 1 2/m 1'
_space_group_IT_number 10
loop_
_space_group_symop_operation_xyz
'x,y,z'
'-x,-y,-z'
'-x,y,-z'
'x,-y,z'
loop_
_atom_site_label
_atom_site_type_symbol
_atom_site_fract_x
_atom_site_fract_y
_atom_site_fract_z
_atom_site_occupancy
Li1 Li 0.0000 0.0000 0.0000 1
Sc1 Sc 0.1685 0.2504 0.3372 1
Sc2 Sc 0.5000 0.2542 0.0000 1
Zn1 Zn 0.0000 0.5000 0.0000 1
Zn2 Zn 0.3337 0.5000 0.6677 1
Zn3 Zn 0.3392 0.0000 0.6780 1

total energy of number 2 (LiSc6Zn5)?
-4.15 eV/atom